First-principles (PBE-GGA) data for a geometry-optimized CuOsRu2 structure, as listed in Alexandria via LeMat-Bulk.

Results
- symmetry = P4mm, No. 99
- total moment (μB/f.u.) = 0.00
- crystal system = tetragonal
- volume (Å³/atom) = 13.68
- VASP energy (eV per atom) = -8.1990

Cell: 2.702 2.702 7.499 Å, 90.00 90.00 90.00°
Element x y z (fractional)
Ru: 0.000 0.000 0.999
Ru: 0.500 0.500 0.253
Os: 0.500 0.500 0.748
Cu: 0.000 0.000 0.500